[1]
! PBE-GGA LiPrPtRh, optimized geometry; values from VASP
&SYSTEM
  ibrav = 0, nat = 16, ntyp = 4
/
ATOMIC_SPECIES
Li 6.94 Li.upf
Pr 140.91 Pr.upf
Pt 195.08 Pt.upf
Rh 102.91 Rh.upf
CELL_PARAMETERS angstrom
6.721 0.000 0.000
0.000 6.721 0.000
0.000 0.000 6.721
ATOMIC_POSITIONS crystal
Li 0.000 0.000 0.000
Li 0.000 0.500 0.500
Li 0.500 0.000 0.500
Li 0.500 0.500 0.000
Pr 0.000 0.000 0.500
Pr 0.000 0.500 0.000
Pr 0.500 0.000 0.000
Pr 0.500 0.500 0.500
Pt 0.250 0.250 0.250
Pt 0.250 0.750 0.750
Pt 0.750 0.250 0.750
Pt 0.750 0.750 0.250
Rh 0.250 0.250 0.750
Rh 0.250 0.750 0.250
Rh 0.750 0.250 0.250
Rh 0.750 0.750 0.750
! * calculated volume: 19.0 A^3/atom
! * energy of formation: -0.522 eV per atom
! * E_tot: -88.7 eV/cell
! * symmetry: No. 216
! * distance to the lowest polymorph of the same formula: 0.0 meV per atom


[2]
! PBE-GGA LiPrSbPt, optimized geometry; values from VASP
&SYSTEM
  ibrav = 0, nat = 16, ntyp = 4
/
ATOMIC_SPECIES
Li 6.94 Li.upf
Pr 140.91 Pr.upf
Sb 121.76 Sb.upf
Pt 195.08 Pt.upf
CELL_PARAMETERS angstrom
6.977 0.000 0.000
0.000 6.977 0.000
0.000 0.000 6.977
ATOMIC_POSITIONS crystal
Li 0.000 0.000 0.000
Li 0.000 0.500 0.500
Li 0.500 0.000 0.500
Li 0.500 0.500 0.000
Pr 0.250 0.250 0.750
Pr 0.250 0.750 0.250
Pr 0.750 0.250 0.250
Pr 0.750 0.750 0.750
Sb 0.250 0.250 0.250
Sb 0.250 0.750 0.750
Sb 0.750 0.250 0.750
Sb 0.750 0.750 0.250
Pt 0.000 0.000 0.500
Pt 0.000 0.500 0.000
Pt 0.500 0.000 0.000
Pt 0.500 0.500 0.500
! * calculated volume: 21.2 A^3/atom
! * E_tot: -79.2 eV/cell
! * symmetry: No. 216


[3]
! PBE-GGA LiPr2Sb4Pt3, optimized geometry; values from VASP
&SYSTEM
  ibrav = 0, nat = 10, ntyp = 4
/
ATOMIC_SPECIES
Li 6.94 Li.upf
Pr 140.91 Pr.upf
Sb 121.76 Sb.upf
Pt 195.08 Pt.upf
CELL_PARAMETERS angstrom
4.507 0.000 0.000
0.000 4.507 0.000
0.000 0.000 11.334
ATOMIC_POSITIONS crystal
Li 0.000 0.000 0.000
Pr 0.000 0.500 0.761
Pr 0.500 0.000 0.239
Sb 0.000 0.000 0.500
Sb 0.000 0.500 0.131
Sb 0.500 0.000 0.869
Sb 0.500 0.500 0.500
Pt 0.000 0.500 0.363
Pt 0.500 0.000 0.637
Pt 0.500 0.500 0.000
! * calculated volume: 23.0 A^3/atom
! * E_tot: -54.4 eV/cell
! * symmetry: No. 115


[4]
! PBE-GGA LiPrScPt2, optimized geometry; values from VASP
&SYSTEM
  ibrav = 0, nat = 10, ntyp = 4
/
ATOMIC_SPECIES
Li 6.94 Li.upf
Pr 140.91 Pr.upf
Sc 44.96 Sc.upf
Pt 195.08 Pt.upf
CELL_PARAMETERS angstrom
4.069 0.000 0.000
0.000 4.069 0.000
0.000 0.000 12.545
ATOMIC_POSITIONS crystal
Li 0.000 0.000 0.000
Li 0.500 0.500 0.500
Pr 0.000 0.500 0.750
Pr 0.500 0.000 0.250
Sc 0.000 0.000 0.500
Sc 0.500 0.500 0.000
Pt 0.000 0.500 0.140
Pt 0.000 0.500 0.360
Pt 0.500 0.000 0.640
Pt 0.500 0.000 0.860
! * calculated volume: 20.8 A^3/atom
! * energy of formation: -0.916 eV per atom
! * E_tot: -59.4 eV/cell
! * symmetry: No. 119